# 1
Computed, not measured: a relaxed ZnTe crystal at the GGA-PBEsol level of DFT.

extended XYZ file:
```
4
Lattice="4.2782 0.0000 0.0000 -2.1391 3.7050 0.0000 0.0000 0.0000 7.0422" Properties=species:S:1:pos:R:3 pbc="T T T"
Zn 0.0000 2.4700 0.0000
Zn 2.1391 1.2350 3.5211
Te 0.0000 2.4700 4.4111
Te 2.1391 1.2350 0.8900
```

Calculated values
For the uncorrected formation energy, the calculation gives -398 meV/atom. As for the raw total energy: -11.81 eV for the cell shown. The symmetry is P6_3mc.

---

# 2
Computed, not measured: a relaxed BeCoHgI2 crystal at the GGA-PBEsol level of DFT.

extended XYZ file:
```
5
Lattice="5.1800 0.0000 0.0000 0.0000 5.1800 0.0000 0.0000 0.0000 4.1445" Properties=species:S:1:pos:R:3 pbc="T T T"
Be 0.0000 0.0000 0.0000
Co 0.0000 0.0000 2.0723
Hg 2.5900 2.5900 0.0000
I 0.0000 2.5900 2.0723
I 2.5900 0.0000 2.0723
```

Calculated values
For the uncorrected formation energy, the calculation gives 433 meV/atom. As for the raw total energy: -13.67 eV for the cell shown. The symmetry is P4/mmm.

---

# 3
Computed, not measured: a relaxed ZnAs2RuI crystal at the GGA-PBEsol level of DFT.

extended XYZ file:
```
5
Lattice="4.5784 0.0000 0.0000 0.0000 4.5784 0.0000 0.0000 0.0000 5.2496" Properties=species:S:1:pos:R:3 pbc="T T T"
Zn 0.0000 0.0000 0.0000
As 0.0000 2.2892 0.0000
As 2.2892 0.0000 0.0000
Ru 2.2892 2.2892 2.6248
I 0.0000 0.0000 2.6248
```

Calculated values
Its offset from the most stable computed form is 0.00 eV/f.u. For the uncorrected formation energy, the calculation gives 1331 meV/atom. As for the raw total energy: -17.08 eV for the cell shown. The symmetry is P4/mmm.

---

# 4
Computed, not measured: a relaxed Zr2MoCl crystal at the GGA-PBEsol level of DFT.

extended XYZ file:
```
4
Lattice="3.3497 0.0000 0.0000 0.0000 4.1160 0.0000 0.0000 0.0000 5.2539" Properties=species:S:1:pos:R:3 pbc="T T T"
Zr 0.0000 0.0000 0.0000
Zr 1.6748 0.0000 2.6269
Mo 0.0000 2.0580 2.6269
Cl 1.6748 2.0580 0.0000
```

Calculated values
Its offset from the most stable computed form is 1.36 eV/f.u. For the uncorrected formation energy, the calculation gives 210 meV/atom. As for the raw total energy: -31.12 eV for the cell shown. The symmetry is Pmmm.

---

# 5
Computed, not measured: a relaxed EuAl20V2 crystal at the GGA-PBEsol level of DFT.

extended XYZ file:
```
46
Lattice="0.0000 7.2169 7.2169 7.2169 0.0000 7.2169 7.2169 7.2169 0.0000" Properties=species:S:1:pos:R:3 pbc="T T T"
Eu 1.8042 1.8042 1.8042
Eu 12.6297 12.6297 12.6297
Al 0.0000 0.0000 0.0000
Al 3.6085 3.6085 0.0000
Al 3.6085 0.0000 3.6085
Al 4.6996 2.7571 2.7571
Al 8.0683 6.1258 2.7571
Al 8.0683 2.7571 6.1258
Al 9.7343 6.3656 6.3656
Al 11.6768 8.3081 6.3656
Al 11.6768 6.3656 8.3081
Al 5.4127 5.4127 3.4143
Al 5.4127 3.4143 5.4127
Al 7.4112 5.4127 5.4127
Al 2.7571 4.6996 2.7571
Al 6.1258 8.0683 2.7571
Al 2.7571 2.7571 4.6996
Al 8.0683 8.0683 4.6996
Al 6.1258 2.7571 8.0683
Al 8.0683 4.6996 8.0683
Al 9.0212 9.0212 7.0227
Al 9.0212 7.0227 9.0212
Al 11.0196 9.0212 9.0212
Al 0.0000 3.6085 3.6085
Al 3.4143 5.4127 5.4127
Al 5.4127 7.4112 5.4127
Al 5.4127 5.4127 7.4112
Al 6.3656 9.7343 6.3656
Al 8.3081 11.6768 6.3656
Al 6.3656 6.3656 9.7343
Al 11.6768 11.6768 9.7343
Al 8.3081 6.3656 11.6768
Al 11.6768 9.7343 11.6768
Al 7.0227 9.0212 9.0212
Al 9.0212 11.0196 9.0212
Al 9.0212 9.0212 11.0196
Al 2.7571 8.0683 6.1258
Al 2.7571 6.1258 8.0683
Al 4.6996 8.0683 8.0683
Al 6.3656 11.6768 8.3081
Al 6.3656 8.3081 11.6768
Al 9.7343 11.6768 11.6768
V 7.2169 3.6085 3.6085
V 3.6085 7.2169 3.6085
V 3.6085 3.6085 7.2169
V 7.2169 7.2169 7.2169
```

Calculated values
As for the raw total energy: -232.72 eV for the cell shown. The symmetry is Fd-3m.

---

# 6
Computed, not measured: a relaxed Cd2PtAu crystal at the GGA-PBEsol level of DFT.

extended XYZ file:
```
4
Lattice="-2.0117 2.0117 4.2907 2.0117 -2.0117 4.2907 2.0117 2.0117 -4.2907" Properties=species:S:1:pos:R:3 pbc="T T T"
Cd 0.0000 0.0000 0.0000
Cd 0.0000 2.0117 2.1453
Pt 0.0000 0.0000 4.2907
Au 2.0117 0.0000 2.1453
```

Calculated values
As for the raw total energy: -14.12 eV for the cell shown. The symmetry is I-4m2.

---

no.,mass density (Mg/m³)
1,5.74
2,7.80
3,6.69
4,7.19
5,3.51
6,14.75